A plane-wave DFT calculation with PBE was carried out for an optimized crystal structure of Pr2Br5F.

Cell: 3.7148 14.9415 20.9097 Å, 90.00 90.00 90.00°
With the nearest neighbours (Å) after each atom.
Space group Cmcm (No. 63)
Unique sites:
Pr  0.0000  0.2495  0.1588  2 F 2.76, 4 Br 2.91-2.92
Br  0.0000  0.1129  0.6149  2 Pr 2.92, 1 F 3.11
Br  0.0000  0.3492  0.5779  2 Pr 2.91
Br  0.0000  0.3856  0.7500  1 F 2.77
F  0.0000  0.2005  0.7500  4 Pr 2.76, 1 Br 2.77

Calculated values
The value obtained for the magnetization is 0.0 Bohr magnetons per cell. The calculation puts the raw formation energy at -191.7 kJ per mole of atoms.

A plane-wave DFT calculation with PBE was carried out for an optimized crystal structure of PrSBr.

Cell: 6.9985 6.9985 6.9985 Å, 90.00 90.00 90.00°
With the nearest neighbours (Å) after each atom.
Space group F-43m (No. 216)
Unique sites:
Pr  0.0000  0.0000  0.0000  4 S 3.03, 4 Br 3.03
S  0.2500  0.2500  0.7500  4 Pr 3.03
Br  0.2500  0.2500  0.2500  4 Pr 3.03

Calculated values
The value obtained for the magnetization is 0.0 Bohr magnetons per cell. The calculation puts the raw formation energy at -175.5 kJ per mole of atoms.

A plane-wave DFT calculation with PBE was carried out for an optimized crystal structure of GaAgSCl2.

Cell: 5.1607 5.1607 4.8573 Å, 90.00 90.00 90.00°
With the nearest neighbours (Å) after each atom.
Space group P4/mmm (No. 123)
Unique sites:
Ga  0.0000  0.0000  0.0000  8 Cl 3.54, 4 S 3.65
Ag  0.5000  0.5000  0.5000  2 S 2.43, 4 Cl 2.58
S  0.5000  0.5000  0.0000  2 Ag 2.43
Cl  0.0000  0.5000  0.5000  2 Ag 2.58

Calculated values
The value obtained for the magnetization is 1.1 Bohr magnetons per cell. The calculation puts the polymorph energy (0 for the lowest one) at 90 kJ/mol of formula units. The calculation puts the raw formation energy at -1.8 kJ per mole of atoms.

A plane-wave DFT calculation with PBE was carried out for an optimized crystal structure of Ca2In3Ag2.

Cell: 10.9553 4.6331 7.6983 Å, 90.00 115.19 90.00°
With the nearest neighbours (Å) after each atom.
Space group C2/m (No. 12)
Unique sites:
Ca  0.1459  0.0000  0.2803  4 Ag 3.17-3.31, 5 In 3.40-3.54
In  0.0000  0.5000  0.5000  4 Ag 2.86, 2 In 3.09
In  0.1204  0.5000  0.9435  3 Ag 2.85-3.01, 2 In 3.09-3.11
Ag  0.1398  0.0000  0.7067  5 In 2.85-3.01, 1 Ca 3.17

Calculated values
The value obtained for the magnetization is 0.0 Bohr magnetons per cell. The electronic total energy comes out at -2.882 eV per atom.